Record 1
# TiSbWI2 (PBE, relaxed)
# Excess energy over the best structure of this formula in the dataset: 0 meV per atom
data_TiSbWI2
_cell_length_a 5.5556
_cell_length_b 5.5556
_cell_length_c 5.2662
_cell_angle_alpha 90.00
_cell_angle_beta 90.00
_cell_angle_gamma 90.00
_symmetry_space_group_name_H-M 'P 4/m m m'
_symmetry_Int_Tables_number 123
_symmetry_space_group_name_Hall '-P 4 2'
loop_
_atom_site_label
_atom_site_type_symbol
_atom_site_fract_x
_atom_site_fract_y
_atom_site_fract_z
Ti1 Ti 0.0000 0.0000 0.0000
Sb1 Sb 0.5000 0.5000 0.0000
W1 W 0.5000 0.5000 0.5000
I1 I 0.0000 0.5000 0.5000


Record 2
# CaZr2In (PBE, relaxed)
# Energy relative to the elements: -0.06 eV/atom
data_CaZr2In
_cell_length_a 3.3412
_cell_length_b 4.1656
_cell_length_c 7.4003
_cell_angle_alpha 90.00
_cell_angle_beta 90.00
_cell_angle_gamma 90.00
_symmetry_space_group_name_H-M 'P m m 2'
_symmetry_Int_Tables_number 25
loop_
_symmetry_equiv_pos_as_xyz
'x,y,z'
'-x,-y,z'
'-x,y,z'
'x,-y,z'
loop_
_atom_site_label
_atom_site_type_symbol
_atom_site_fract_x
_atom_site_fract_y
_atom_site_fract_z
Ca1 Ca 0.0000 0.0000 0.0000
Zr1 Zr 0.0000 0.0000 0.4903
Zr2 Zr 0.5000 0.5000 0.6965
In1 In 0.5000 0.5000 0.2655


Record 3
First-principles (PBE) data for an optimized crystal structure of CaNpPa2Sb4, as listed in Alexandria via LeMat-Bulk.

```
data_CaNpPa2Sb4
_cell_length_a 6.2256
_cell_length_b 6.2256
_cell_length_c 12.5005
_cell_angle_alpha 90.00
_cell_angle_beta 90.00
_cell_angle_gamma 90.00
_symmetry_space_group_name_H-M 'I -4 m 2'
_symmetry_Int_Tables_number 119
_symmetry_space_group_name_Hall 'I -4 -2'
loop_
_atom_site_label
_atom_site_type_symbol
_atom_site_fract_x
_atom_site_fract_y
_atom_site_fract_z
Ca1 Ca 0.0000 0.0000 0.0000
Np1 Np 0.0000 0.5000 0.7500
Pa1 Pa 0.0000 0.0000 0.5000
Pa2 Pa 0.0000 0.5000 0.2500
Sb1 Sb 0.0000 0.0000 0.2535
Sb2 Sb 0.0000 0.5000 0.0017
```


Record 4
# KIn2S2 (PBE, relaxed)
# Excess energy over the best structure of this formula in the dataset: 0 meV per atom
data_KIn2S2
_cell_length_a 8.5372
_cell_length_b 11.9622
_cell_length_c 6.3616
_cell_angle_alpha 90.00
_cell_angle_beta 109.61
_cell_angle_gamma 90.00
_symmetry_space_group_name_H-M 'C 1 2/m 1'
_symmetry_Int_Tables_number 12
loop_
_symmetry_equiv_pos_as_xyz
'x,y,z'
'-x,-y,-z'
'-x,y,-z'
'x,-y,z'
'x+1/2,y+1/2,z'
'-x+1/2,-y+1/2,-z'
'-x+1/2,y+1/2,-z'
'x+1/2,-y+1/2,z'
loop_
_atom_site_label
_atom_site_type_symbol
_atom_site_fract_x
_atom_site_fract_y
_atom_site_fract_z
K1 K 0.0000 0.1786 0.0000
In1 In 0.0000 0.3754 0.5000
In2 In 0.2388 0.0000 0.6613
S1 S 0.0000 0.1499 0.5000
S2 S 0.2155 0.5000 0.9345


Record 5
First-principles (PBE) data for an optimized crystal structure of LaCoCl, as listed in Alexandria via LeMat-Bulk.

```
data_LaCoCl
_cell_length_a 3.9530
_cell_length_b 3.9530
_cell_length_c 6.6742
_cell_angle_alpha 90.00
_cell_angle_beta 90.00
_cell_angle_gamma 120.00
_symmetry_space_group_name_H-M 'P 3 m 1'
_symmetry_Int_Tables_number 156
loop_
_symmetry_equiv_pos_as_xyz
'x,y,z'
'-y,x-y,z'
'-x+y,-x,z'
'-y,-x,z'
'-x+y,y,z'
'x,x-y,z'
loop_
_atom_site_label
_atom_site_type_symbol
_atom_site_fract_x
_atom_site_fract_y
_atom_site_fract_z
La1 La 0.0000 0.0000 0.0000
Co1 Co 0.6667 0.3333 0.7356
Cl1 Cl 0.3333 0.6667 0.2798
```


Record 6
# CdTePH (PBE, relaxed)
# Excess energy over the best structure of this formula in the dataset: 254 meV per atom
data_CdTePH
_cell_length_a 4.0259
_cell_length_b 4.0238
_cell_length_c 6.1205
_cell_angle_alpha 90.00
_cell_angle_beta 90.66
_cell_angle_gamma 90.00
_symmetry_space_group_name_H-M 'P 1 m 1'
_symmetry_Int_Tables_number 6
loop_
_symmetry_equiv_pos_as_xyz
'x,y,z'
'x,-y,z'
loop_
_atom_site_label
_atom_site_type_symbol
_atom_site_fract_x
_atom_site_fract_y
_atom_site_fract_z
Cd1 Cd 0.0000 0.0000 0.0000
Te1 Te 0.9962 0.0000 0.5004
P1 P 0.4960 0.5000 0.4968
H1 H 0.5001 0.5000 0.7325


Record 7
# Be17OsRu (PBE, relaxed)
# Energy relative to the elements: -0.18 eV/atom
data_Be17OsRu
_cell_length_a 7.2066
_cell_length_b 7.2066
_cell_length_c 10.5160
_cell_angle_alpha 90.00
_cell_angle_beta 90.00
_cell_angle_gamma 120.00
_symmetry_space_group_name_H-M 'R 3 m'
_symmetry_Int_Tables_number 160
_symmetry_space_group_name_Hall 'R 3 -2"'
loop_
_atom_site_label
_atom_site_type_symbol
_atom_site_fract_x
_atom_site_fract_y
_atom_site_fract_z
Be1 Be 0.0000 0.0000 0.0486
Be2 Be 0.0000 0.0000 0.2562
Be3 Be 0.9999 0.3043 0.1527
Be4 Be 0.0068 0.5034 0.3050
Be5 Be 0.1672 0.3345 0.9865
Be6 Be 0.1700 0.3399 0.3333
Os1 Os 0.0000 0.0000 0.4919
Ru1 Ru 0.0000 0.0000 0.8119


Record 8
# Pm3Re2C6 (PBE, relaxed)
# Energy relative to the elements: 0.07 eV/atom
data_Pm3Re2C6
_cell_length_a 3.9660
_cell_length_b 3.9660
_cell_length_c 20.8777
_cell_angle_alpha 90.00
_cell_angle_beta 90.00
_cell_angle_gamma 90.00
_symmetry_space_group_name_H-M 'I 4/m m m'
_symmetry_Int_Tables_number 139
_symmetry_space_group_name_Hall '-I 4 2'
loop_
_atom_site_label
_atom_site_type_symbol
_atom_site_fract_x
_atom_site_fract_y
_atom_site_fract_z
Pm1 Pm 0.0000 0.0000 0.0000
Pm2 Pm 0.0000 0.0000 0.1824
Re1 Re 0.0000 0.0000 0.3948
C1 C 0.0000 0.0000 0.3044
C2 C 0.0000 0.5000 0.0851


Record 9
First-principles (PBE) data for an optimized crystal structure of Y2Ag2H, as listed in Alexandria via LeMat-Bulk.

```
data_Y2Ag2H
_cell_length_a 6.6987
_cell_length_b 6.6987
_cell_length_c 4.9143
_cell_angle_alpha 90.00
_cell_angle_beta 90.00
_cell_angle_gamma 90.00
_symmetry_space_group_name_H-M 'P 4/m b m'
_symmetry_Int_Tables_number 127
_symmetry_space_group_name_Hall '-P 4 2ab'
loop_
_atom_site_label
_atom_site_type_symbol
_atom_site_fract_x
_atom_site_fract_y
_atom_site_fract_z
Y1 Y 0.1738 0.3262 0.0000
Ag1 Ag 0.1435 0.6435 0.5000
H1 H 0.0000 0.0000 0.0000
```


Record 10
# MgZr6Ru (PBE, relaxed)
# Energy relative to the elements: 0.25 eV/atom
data_MgZr6Ru
_cell_length_a 5.8878
_cell_length_b 10.8867
_cell_length_c 6.0877
_cell_angle_alpha 90.00
_cell_angle_beta 111.98
_cell_angle_gamma 90.00
_symmetry_space_group_name_H-M 'C 1 2/m 1'
_symmetry_Int_Tables_number 12
loop_
_symmetry_equiv_pos_as_xyz
'x,y,z'
'-x,-y,-z'
'-x,y,-z'
'x,-y,z'
'x+1/2,y+1/2,z'
'-x+1/2,-y+1/2,-z'
'-x+1/2,y+1/2,-z'
'x+1/2,-y+1/2,z'
loop_
_atom_site_label
_atom_site_type_symbol
_atom_site_fract_x
_atom_site_fract_y
_atom_site_fract_z
Mg1 Mg 0.0000 0.0000 0.0000
Zr1 Zr 0.0428 0.5000 0.2666
Zr2 Zr 0.0461 0.2158 0.7549
Ru1 Ru 0.0000 0.0000 0.5000


Record 11
First-principles (PBE) data for an optimized crystal structure of PaTiCrS6, as listed in Alexandria via LeMat-Bulk.

```
data_PaTiCrS6
_cell_length_a 6.1081
_cell_length_b 6.1081
_cell_length_c 5.9082
_cell_angle_alpha 90.00
_cell_angle_beta 90.00
_cell_angle_gamma 120.00
_symmetry_space_group_name_H-M 'P 3 1 2'
_symmetry_Int_Tables_number 149
loop_
_symmetry_equiv_pos_as_xyz
'x,y,z'
'-y,x-y,z'
'-x+y,-x,z'
'-y,-x,-z'
'-x+y,y,-z'
'x,x-y,-z'
loop_
_atom_site_label
_atom_site_type_symbol
_atom_site_fract_x
_atom_site_fract_y
_atom_site_fract_z
Pa1 Pa 0.0000 0.0000 0.0000
Ti1 Ti 0.6667 0.3333 0.5000
Cr1 Cr 0.3333 0.6667 0.5000
S1 S 0.0045 0.3518 0.2691
```


Record 12
First-principles (PBE) data for an optimized crystal structure of Os4WSe, as listed in Alexandria via LeMat-Bulk.

```
data_Os4WSe
_cell_length_a 7.3048
_cell_length_b 7.3048
_cell_length_c 7.3048
_cell_angle_alpha 90.00
_cell_angle_beta 90.00
_cell_angle_gamma 90.00
_symmetry_space_group_name_H-M 'F -4 3 m'
_symmetry_Int_Tables_number 216
_symmetry_space_group_name_Hall 'F -4 2 3'
loop_
_atom_site_label
_atom_site_type_symbol
_atom_site_fract_x
_atom_site_fract_y
_atom_site_fract_z
Os1 Os 0.1253 0.1253 0.1253
W1 W 0.0000 0.0000 0.5000
Se1 Se 0.2500 0.2500 0.7500
```


Record 13
# Ac5PmPr2 (PBE, relaxed)
# Excess energy over the best structure of this formula in the dataset: 76 meV per atom
# Energy relative to the elements: 0.10 eV/atom
data_Ac5PmPr2
_cell_length_a 5.8251
_cell_length_b 12.6822
_cell_length_c 18.1195
_cell_angle_alpha 90.00
_cell_angle_beta 90.00
_cell_angle_gamma 90.00
_symmetry_space_group_name_H-M 'C m c m'
_symmetry_Int_Tables_number 63
_symmetry_space_group_name_Hall '-C 2c 2'
loop_
_atom_site_label
_atom_site_type_symbol
_atom_site_fract_x
_atom_site_fract_y
_atom_site_fract_z
Ac1 Ac 0.0000 0.0070 0.2500
Ac2 Ac 0.0000 0.1436 0.5430
Ac3 Ac 0.0000 0.4481 0.6003
Pm1 Pm 0.0000 0.2686 0.7500
Pr1 Pr 0.0000 0.2571 0.1457


Record 14
First-principles (PBE) data for an optimized crystal structure of Te4OsPb, as listed in Alexandria via LeMat-Bulk.

```
data_Te4OsPb
_cell_length_a 8.8945
_cell_length_b 8.8945
_cell_length_c 8.8945
_cell_angle_alpha 90.00
_cell_angle_beta 90.00
_cell_angle_gamma 90.00
_symmetry_space_group_name_H-M 'F -4 3 m'
_symmetry_Int_Tables_number 216
_symmetry_space_group_name_Hall 'F -4 2 3'
loop_
_atom_site_label
_atom_site_type_symbol
_atom_site_fract_x
_atom_site_fract_y
_atom_site_fract_z
Te1 Te 0.1238 0.1238 0.1238
Os1 Os 0.2500 0.2500 0.7500
Pb1 Pb 0.0000 0.0000 0.5000
```


Record 15
# Cr5Pb (PBE, relaxed)
# Excess energy over the best structure of this formula in the dataset: 231 meV per atom
# Energy relative to the elements: 0.58 eV/atom
data_Cr5Pb
_cell_length_a 4.8224
_cell_length_b 4.8224
_cell_length_c 4.2382
_cell_angle_alpha 90.00
_cell_angle_beta 90.00
_cell_angle_gamma 120.00
_symmetry_space_group_name_H-M 'P 6/m m m'
_symmetry_Int_Tables_number 191
_symmetry_space_group_name_Hall '-P 6 2'
loop_
_atom_site_label
_atom_site_type_symbol
_atom_site_fract_x
_atom_site_fract_y
_atom_site_fract_z
Cr1 Cr 0.0000 0.5000 0.0000
Cr2 Cr 0.3333 0.6667 0.5000
Pb1 Pb 0.0000 0.0000 0.5000


Record 16
# CaPmTl (PBE, relaxed)
# Excess energy over the best structure of this formula in the dataset: 0 meV per atom
# Energy relative to the elements: -0.36 eV/atom
data_CaPmTl
_cell_length_a 5.5054
_cell_length_b 5.5054
_cell_length_c 6.9898
_cell_angle_alpha 90.00
_cell_angle_beta 90.00
_cell_angle_gamma 120.00
_symmetry_space_group_name_H-M 'P 63/m m c'
_symmetry_Int_Tables_number 194
_symmetry_space_group_name_Hall '-P 6c 2c'
loop_
_atom_site_label
_atom_site_type_symbol
_atom_site_fract_x
_atom_site_fract_y
_atom_site_fract_z
Ca1 Ca 0.0000 0.0000 0.0000
Pm1 Pm 0.3333 0.6667 0.2500
Tl1 Tl 0.3333 0.6667 0.7500


Record 17
# CeNd3Dy12 (PBE, relaxed)
# Energy relative to the elements: 0.03 eV/atom
data_CeNd3Dy12
_cell_length_a 5.0447
_cell_length_b 5.0447
_cell_length_c 20.1706
_cell_angle_alpha 90.00
_cell_angle_beta 90.00
_cell_angle_gamma 90.00
_symmetry_space_group_name_H-M 'P 4/m m m'
_symmetry_Int_Tables_number 123
_symmetry_space_group_name_Hall '-P 4 2'
loop_
_atom_site_label
_atom_site_type_symbol
_atom_site_fract_x
_atom_site_fract_y
_atom_site_fract_z
Ce1 Ce 0.0000 0.0000 0.0000
Nd1 Nd 0.0000 0.0000 0.2480
Nd2 Nd 0.0000 0.0000 0.5000
Dy1 Dy 0.0000 0.5000 0.1223
Dy2 Dy 0.0000 0.5000 0.3742
Dy3 Dy 0.5000 0.5000 0.0000
Dy4 Dy 0.5000 0.5000 0.2495
Dy5 Dy 0.5000 0.5000 0.5000


Record 18
# In2Ga5Ag5 (PBE, relaxed)
# Energy relative to the elements: 0.08 eV/atom
data_In2Ga5Ag5
_cell_length_a 4.6666
_cell_length_b 5.8926
_cell_length_c 8.9933
_cell_angle_alpha 90.00
_cell_angle_beta 90.00
_cell_angle_gamma 90.00
_symmetry_space_group_name_H-M 'P m m m'
_symmetry_Int_Tables_number 47
loop_
_symmetry_equiv_pos_as_xyz
'x,y,z'
'-x,-y,-z'
'-x,-y,z'
'x,y,-z'
'x,-y,-z'
'-x,y,z'
'-x,y,-z'
'x,-y,z'
loop_
_atom_site_label
_atom_site_type_symbol
_atom_site_fract_x
_atom_site_fract_y
_atom_site_fract_z
In1 In 0.0000 0.0000 0.0000
In2 In 0.0000 0.5000 0.5000
Ga1 Ga 0.5000 0.0000 0.5000
Ga2 Ga 0.5000 0.2452 0.2454
Ag1 Ag 0.0000 0.0000 0.3318
Ag2 Ag 0.0000 0.5000 0.1803
Ag3 Ag 0.5000 0.5000 0.0000


Record 19
# Y3TmIn (PBE, relaxed)
# Excess energy over the best structure of this formula in the dataset: 210 meV per atom
# Energy relative to the elements: 0.02 eV/atom
data_Y3TmIn
_cell_length_a 7.1147
_cell_length_b 7.1147
_cell_length_c 22.3509
_cell_angle_alpha 90.00
_cell_angle_beta 90.00
_cell_angle_gamma 120.00
_symmetry_space_group_name_H-M 'R -3 m'
_symmetry_Int_Tables_number 166
_symmetry_space_group_name_Hall '-R 3 2"'
loop_
_atom_site_label
_atom_site_type_symbol
_atom_site_fract_x
_atom_site_fract_y
_atom_site_fract_z
Y1 Y 0.0039 0.5020 0.3921
Tm1 Tm 0.0000 0.0000 0.4124
In1 In 0.0000 0.0000 0.1662


Record 20
# Nd3Zn2Co4 (PBE, relaxed)
# Energy relative to the elements: -0.14 eV/atom
data_Nd3Zn2Co4
_cell_length_a 10.2053
_cell_length_b 4.1569
_cell_length_c 8.1263
_cell_angle_alpha 90.00
_cell_angle_beta 98.41
_cell_angle_gamma 90.00
_symmetry_space_group_name_H-M 'C 1 2/m 1'
_symmetry_Int_Tables_number 12
loop_
_symmetry_equiv_pos_as_xyz
'x,y,z'
'-x,-y,-z'
'-x,y,-z'
'x,-y,z'
'x+1/2,y+1/2,z'
'-x+1/2,-y+1/2,-z'
'-x+1/2,y+1/2,-z'
'x+1/2,-y+1/2,z'
loop_
_atom_site_label
_atom_site_type_symbol
_atom_site_fract_x
_atom_site_fract_y
_atom_site_fract_z
Nd1 Nd 0.0000 0.0000 0.0000
Nd2 Nd 0.1306 0.5000 0.3732
Zn1 Zn 0.1689 0.5000 0.7743
Co1 Co 0.0743 0.0000 0.6252
Co2 Co 0.2495 0.0000 0.9236


Number 1: final energy -4.499 eV per atom, total moment 4.36 μB/f.u.. Number 2: final energy -5.521 eV per atom, total moment 0.00 μB/f.u.. Number 3: final energy -6.820 eV per atom, total moment 5.98 μB/f.u.. Number 4: final energy -3.517 eV per atom, total moment 0.00 μB/f.u.. Number 5: final energy -4.943 eV per atom, total moment 1.00 μB/f.u.. Number 6: final energy -3.008 eV per atom, total moment 0.00 μB/f.u.. Number 7: final energy -4.595 eV per atom, total moment 0.00 μB/f.u.. Number 8: final energy -8.518 eV per atom, total moment 0.00 μB/f.u.. Number 9: final energy -4.495 eV per atom, total moment 0.00 μB/f.u.. Number 10: final energy -7.520 eV per atom, total moment 0.00 μB/f.u.. Number 11: final energy -6.841 eV per atom, total moment 3.00 μB/f.u.. Number 12: final energy -9.203 eV per atom, total moment 0.00 μB/f.u.. Number 13: final energy -4.254 eV per atom, total moment 0.00 μB/f.u.. Number 14: final energy -3.384 eV per atom, total moment 3.37 μB/f.u.. Number 15: final energy -8.055 eV per atom, total moment 0.00 μB/f.u.. Number 16: final energy -3.403 eV per atom, total moment 0.00 μB/f.u.. Number 17: final energy -4.686 eV per atom, total moment 0.86 μB/f.u.. Number 18: final energy -2.830 eV per atom, total moment 0.00 μB/f.u.. Number 19: final energy -5.298 eV per atom, total moment 0.49 μB/f.u.. Number 20: final energy -5.171 eV per atom, total moment 2.23 μB/f.u..